1.
DyAl4Cu2Pt after structural relaxation. Source: Alexandria via LeMat-Bulk, functional PBE.

## Properties
Formation energy from the elements = -0.498 eV/atom

Cell: 9.1894 9.1894 9.1894 Å, 26.43 26.43 26.43°
Last column: nearest neighbours and their distance in Å.
Element x y z (fractional)
Dy: 0.0000 0.0000 0.0000  8 Al 3.06-3.42, 6 Cu 3.29
Al: 0.1287 0.1287 0.1287  3 Pt 2.63, 3 Cu 2.70, 3 Al 2.89
Al: 0.4032 0.4032 0.4032  3 Cu 2.45, 1 Pt 2.57
Al: 0.5968 0.5968 0.5968  3 Cu 2.45, 1 Pt 2.57
Al: 0.8713 0.8713 0.8713  3 Pt 2.63, 3 Cu 2.70, 3 Al 2.89
Cu: 0.2495 0.2495 0.2495  6 Al 2.45-2.70
Cu: 0.7505 0.7505 0.7505  6 Al 2.45-2.70
Pt: 0.5000 0.5000 0.5000  8 Al 2.57-2.63

2.
Fe2MoCl after structural relaxation. Source: Alexandria via LeMat-Bulk, functional PBE.

## Properties
Relative energy among the computed polymorphs = 840.6 meV per atom
ΔE_f (raw) = 1013 meV per atom

Cell: 4.3011 4.3011 4.3011 Å, 60.00 60.00 60.00°
Last column: nearest neighbours and their distance in Å.
Element x y z (fractional)
Fe: 0.2500 0.2500 0.2500  4 Cl 2.63, 4 Mo 2.63
Fe: 0.7500 0.7500 0.7500  4 Cl 2.63, 4 Mo 2.63
Mo: 0.0000 0.0000 0.0000  8 Fe 2.63
Cl: 0.5000 0.5000 0.5000  8 Fe 2.63

3.
BaIr4S8 after structural relaxation. Source: Alexandria via LeMat-Bulk, functional PBE.

## Properties
ΔE_f (raw) = -666 meV per atom

Cell: 7.9119 7.9119 11.0743 Å, 127.26 127.26 26.88°
Last column: nearest neighbours and their distance in Å.
Element x y z (fractional)
Ba: 0.0000 0.0000 0.0000  6 S 3.16-3.30
Ir: 0.1326 0.1326 0.4659  6 S 2.32-2.46
Ir: 0.3348 0.3348 0.1813  6 S 2.29-2.43
Ir: 0.6652 0.6652 0.8187  6 S 2.29-2.43
Ir: 0.8674 0.8674 0.5341  6 S 2.32-2.46
S: 0.0484 0.0484 0.7612  3 Ir 2.32-2.36
S: 0.2954 0.2954 0.9321  3 Ir 2.42-2.43
S: 0.3340 0.3340 0.6475  3 Ir 2.43-2.46
S: 0.3946 0.3946 0.4295  3 Ir 2.29-2.35
S: 0.6054 0.6054 0.5705  3 Ir 2.29-2.35
S: 0.6660 0.6660 0.3525  3 Ir 2.43-2.46
S: 0.7046 0.7046 0.0679  3 Ir 2.42-2.43
S: 0.9516 0.9516 0.2388  3 Ir 2.32-2.36

4.
BaGeTeI2 after structural relaxation. Source: Alexandria via LeMat-Bulk, functional PBE.

## Properties
Relative energy among the computed polymorphs = 0.0 meV per atom
ΔE_f (raw) = -786 meV per atom

Cell: 5.7303 5.7303 5.8860 Å, 90.00 90.00 90.00°
Last column: nearest neighbours and their distance in Å.
Element x y z (fractional)
Ba: 0.0000 0.0000 0.0000  4 Te 4.05, 8 I 4.11
Ge: 0.5000 0.5000 0.5000  4 I 2.87, 2 Te 2.94
Te: 0.5000 0.5000 0.0000  2 Ge 2.94
I: 0.0000 0.5000 0.5000  2 Ge 2.87
I: 0.5000 0.0000 0.5000  2 Ge 2.87

5.
Ti2Ni2B after structural relaxation. Source: Alexandria via LeMat-Bulk, functional PBE.

## Properties
Relative energy among the computed polymorphs = 437.7 meV per atom
Formation energy from the elements = 0.211 eV/atom

Cell: 4.5148 4.5148 4.5148 Å, 116.17 116.17 96.78°
Last column: nearest neighbours and their distance in Å.
Element x y z (fractional)
Ti: 0.2500 0.7500 0.5000  4 Ni 2.42
Ti: 0.7500 0.2500 0.5000  4 Ni 2.42
Ni: 0.1820 0.1820 0.0000  1 B 1.91
Ni: 0.8180 0.8180 0.0000  1 B 1.91
B: 0.5000 0.5000 0.0000  2 Ni 1.91

6.
LiCeH6Ir after structural relaxation. Source: Alexandria via LeMat-Bulk, functional PBE.

## Properties
Raw total energy = -4.498 eV per atom

Cell: 4.5875 4.5875 4.4175 Å, 90.00 90.00 120.00°
Last column: nearest neighbours and their distance in Å.
Element x y z (fractional)
Li: 0.0000 0.0000 0.0000  6 H 1.84
Ce: 0.6667 0.3333 0.5000  12 H 2.52
H: 0.1778 0.3555 0.2665  1 Ir 1.71, 1 Li 1.84
H: 0.1778 0.3555 0.7335  1 Ir 1.71, 1 Li 1.84
H: 0.1778 0.8222 0.2665  1 Ir 1.71, 1 Li 1.84
H: 0.1778 0.8222 0.7335  1 Ir 1.71, 1 Li 1.84
H: 0.6445 0.8222 0.2665  1 Ir 1.71, 1 Li 1.84
H: 0.6445 0.8222 0.7335  1 Ir 1.71, 1 Li 1.84
Ir: 0.3333 0.6667 0.0000  6 H 1.71

7.
CaZr2Nb after structural relaxation. Source: Alexandria via LeMat-Bulk, functional PBE.

## Properties
Relative energy among the computed polymorphs = 0.0 meV per atom
Formation energy from the elements = 0.394 eV/atom

Cell: 5.0701 5.0701 5.0701 Å, 60.00 60.00 60.00°
Last column: nearest neighbours and their distance in Å.
Element x y z (fractional)
Ca: 0.0000 0.0000 0.0000  8 Zr 3.10
Zr: 0.2500 0.2500 0.2500  4 Nb 3.10, 4 Ca 3.10
Zr: 0.7500 0.7500 0.7500  4 Ca 3.10, 4 Nb 3.10
Nb: 0.5000 0.5000 0.5000  8 Zr 3.10

8.
CeYTcNi after structural relaxation. Source: Alexandria via LeMat-Bulk, functional PBE.

## Properties
Formation energy from the elements = -0.137 eV/atom

Cell: 4.8439 4.8439 4.8439 Å, 60.00 60.00 60.00°
Last column: nearest neighbours and their distance in Å.
Element x y z (fractional)
Ce: 0.0000 0.0000 0.0000  4 Tc 2.97, 4 Ni 2.97
Y: 0.5000 0.5000 0.5000  4 Ni 2.97, 4 Tc 2.97
Tc: 0.2500 0.2500 0.2500  4 Ce 2.97, 4 Y 2.97
Ni: 0.7500 0.7500 0.7500  4 Y 2.97, 4 Ce 2.97

Repeat the sixth record exactly.
LiCeH6Ir after structural relaxation. Source: Alexandria via LeMat-Bulk, functional PBE.

## Properties
Raw total energy = -4.498 eV per atom

Cell: 4.5875 4.5875 4.4175 Å, 90.00 90.00 120.00°
Last column: nearest neighbours and their distance in Å.
Element x y z (fractional)
Li: 0.0000 0.0000 0.0000  6 H 1.84
Ce: 0.6667 0.3333 0.5000  12 H 2.52
H: 0.1778 0.3555 0.2665  1 Ir 1.71, 1 Li 1.84
H: 0.1778 0.3555 0.7335  1 Ir 1.71, 1 Li 1.84
H: 0.1778 0.8222 0.2665  1 Ir 1.71, 1 Li 1.84
H: 0.1778 0.8222 0.7335  1 Ir 1.71, 1 Li 1.84
H: 0.6445 0.8222 0.2665  1 Ir 1.71, 1 Li 1.84
H: 0.6445 0.8222 0.7335  1 Ir 1.71, 1 Li 1.84
Ir: 0.3333 0.6667 0.0000  6 H 1.71